No. 1
# ScBe2H (PBE-GGA, relaxed)
# Density: 2.2 g cm⁻³
# DOS at the Fermi energy: 1.4 states/eV/f.u.
# Polymorph energy (0 for the lowest one): 0.6979 eV/atom
data_ScBe2H
_chemical_formula_sum 'Sc4 Be8 H4'
_cell_length_a 5.749
_cell_length_b 5.749
_cell_length_c 5.749
_cell_angle_alpha 90.00
_cell_angle_beta 90.00
_cell_angle_gamma 90.00
_space_group_name_H-M_alt 'F m -3 m'
_space_group_IT_number 225
_space_group_name_Hall '-F 4 2 3'
loop_
_atom_site_label
_atom_site_fract_x
_atom_site_fract_y
_atom_site_fract_z
_atom_site_occupancy
Sc1 0.000 0.000 0.000 1
Be1 0.250 0.250 0.250 1
H1 0.000 0.000 0.500 1


No. 2
# Ta2TePt (PBE-GGA, relaxed)
# Density: 15.4 g cm⁻³
# DOS at the Fermi energy: 3.1 states/eV/f.u.
# Formation energy from raw total energies: 0.023 eV/atom
data_Ta2TePt
_chemical_formula_sum 'Ta2 Te1 Pt1'
_cell_length_a 3.047
_cell_length_b 4.264
_cell_length_c 5.845
_cell_angle_alpha 90.00
_cell_angle_beta 102.92
_cell_angle_gamma 90.00
_space_group_name_H-M_alt 'P 1 2/m 1'
_space_group_IT_number 10
_space_group_name_Hall '-P 2y'
loop_
_atom_site_label
_atom_site_fract_x
_atom_site_fract_y
_atom_site_fract_z
_atom_site_occupancy
Ta1 0.033 0.000 0.242 1
Te1 0.500 0.500 0.500 1
Pt1 0.500 0.500 0.000 1


No. 3
# TbSmBiS (PBE-GGA, relaxed)
# Density: 8.4 g cm⁻³
# DOS at the Fermi energy: 3.6 states/eV/f.u.
# Formation energy from raw total energies: -1.348 eV/atom
data_TbSmBiS
_chemical_formula_sum 'Tb3 Sm3 Bi3 S3'
_cell_length_a 4.1634
_cell_length_b 4.1634
_cell_length_c 21.8189
_cell_angle_alpha 90.00
_cell_angle_beta 90.00
_cell_angle_gamma 120.00
_space_group_name_H-M_alt 'R 3 m'
_space_group_IT_number 160
_space_group_name_Hall 'R 3 -2"'
loop_
_atom_site_label
_atom_site_fract_x
_atom_site_fract_y
_atom_site_fract_z
_atom_site_occupancy
Tb1 0.0000 0.0000 0.0000 1
Sm1 0.0000 0.0000 0.1910 1
Bi1 0.0000 0.0000 0.4276 1
S1 0.0000 0.0000 0.6005 1


No. 4
# Rb2MgSn7 (PBE-GGA, relaxed)
# Density: 5.0 g cm⁻³
# DOS at the Fermi energy: 3.3 states/eV/f.u.
# Calculated formation energy: -150.6 meV/atom
data_Rb2MgSn7
_chemical_formula_sum 'Rb2 Mg1 Sn7'
_cell_length_a 5.142
_cell_length_b 5.142
_cell_length_c 12.882
_cell_angle_alpha 90.00
_cell_angle_beta 90.00
_cell_angle_gamma 90.00
_space_group_name_H-M_alt 'P -4 m 2'
_space_group_IT_number 115
_space_group_name_Hall 'P -4 -2'
loop_
_atom_site_label
_atom_site_fract_x
_atom_site_fract_y
_atom_site_fract_z
_atom_site_occupancy
Rb1 0.000 0.500 0.247 1
Mg1 0.500 0.500 0.000 1
Sn1 0.000 0.000 0.000 1
Sn2 0.000 0.000 0.500 1
Sn3 0.000 0.500 0.630 1
Sn4 0.000 0.500 0.874 1
Sn5 0.500 0.500 0.500 1


No. 5
# SrTe2RhN (PBE-GGA, relaxed)
# Density: 6.2 g cm⁻³
# DOS at the Fermi energy: 4.2 states/eV/f.u.
# Polymorph energy (0 for the lowest one): 0.0000 eV/atom
# Formation energy from raw total energies: -0.311 eV/atom
data_SrTe2RhN
_chemical_formula_sum 'Sr1 Te2 Rh1 N1'
_cell_length_a 5.717
_cell_length_b 5.717
_cell_length_c 3.745
_cell_angle_alpha 90.00
_cell_angle_beta 90.00
_cell_angle_gamma 90.00
_space_group_name_H-M_alt 'P 4/m m m'
_space_group_IT_number 123
_space_group_name_Hall '-P 4 2'
loop_
_atom_site_label
_atom_site_fract_x
_atom_site_fract_y
_atom_site_fract_z
_atom_site_occupancy
Sr1 0.000 0.000 0.000 1
Te1 0.000 0.500 0.500 1
Rh1 0.500 0.500 0.500 1
N1 0.500 0.500 0.000 1


No. 6
# Li2CdAg (PBE-GGA, relaxed)
# Density: 5.0 g cm⁻³
# DOS at the Fermi energy: 0.9 states/eV/f.u.
# Calculated formation energy: -18.7 meV/atom
data_Li2CdAg
_chemical_formula_sum 'Li4 Cd2 Ag2'
_cell_length_a 2.926
_cell_length_b 4.989
_cell_length_c 10.611
_cell_angle_alpha 90.00
_cell_angle_beta 90.00
_cell_angle_gamma 90.00
_space_group_name_H-M_alt 'I m m m'
_space_group_IT_number 71
_space_group_name_Hall '-I 2 2'
loop_
_atom_site_label
_atom_site_fract_x
_atom_site_fract_y
_atom_site_fract_z
_atom_site_occupancy
Li1 0.000 0.000 0.240 1
Cd1 0.000 0.000 0.500 1
Ag1 0.000 0.000 0.000 1